(w)
Below is a geometry-optimized SbPbCI2 structure, with properties calculated at the GGA-PBE level.

The structure in POSCAR format:
```
SbPbCI2
1.0
6.253 0.000 0.000
0.000 6.253 0.000
0.000 0.000 6.157
Sb I C Pb
1 2 1 1
direct
0.000 0.000 0.500 Sb
0.000 0.500 0.000 I
0.500 0.000 0.000 I
0.500 0.500 0.500 C
0.000 0.000 0.000 Pb
```

Values from the calculation:
Its space group is P4/mmm. The calculation puts the density of states at the Fermi level at 1.95 states/eV per atom.

***

(x)
Below is a geometry-optimized SbPbCI2 structure, with properties calculated at the GGA-PBE level.

The structure in POSCAR format:
```
SbPbCI2
1.0
5.183 0.000 0.000
0.000 5.183 0.000
0.000 0.000 4.915
I Sb Pb C
2 1 1 1
direct
0.000 0.500 0.000 I
0.500 0.000 0.000 I
0.000 0.000 0.500 Sb
0.500 0.500 0.500 Pb
0.000 0.000 0.000 C
```

Values from the calculation:
Its space group is P4/mmm. The calculation puts the density of states at the Fermi level at 0.41 states/eV per atom.

***

Most stable structure - (x); separation to the second - 76.7 kJ/mol of atoms.

***

(w)
Below is a geometry-optimized TePbCI2 structure, with properties calculated at the GGA-PBE level.

The structure in POSCAR format:
```
TePbCI2
1.0
6.325 0.000 0.000
0.000 6.325 0.000
0.000 0.000 6.083
I C Te Pb
2 1 1 1
direct
0.500 0.000 0.000 I
0.000 0.500 0.000 I
0.500 0.500 0.500 C
0.000 0.000 0.500 Te
0.000 0.000 0.000 Pb
```

Values from the calculation:
Its space group is P4/mmm. The calculation puts the density of states at the Fermi level at 1.84 states/eV per atom.

***

(x)
Below is a geometry-optimized TePbCI2 structure, with properties calculated at the GGA-PBE level.

The structure in POSCAR format:
```
TePbCI2
1.0
5.202 0.000 0.000
0.000 5.202 0.000
0.000 0.000 4.972
C I Pb Te
1 2 1 1
direct
0.000 0.000 0.000 C
0.000 0.500 0.000 I
0.500 0.000 0.000 I
0.500 0.500 0.500 Pb
0.000 0.000 0.500 Te
```

Values from the calculation:
Its space group is P4/mmm. The calculation puts the density of states at the Fermi level at 0.56 states/eV per atom.

***

Most stable structure - (x); separation to the second - 74.2 kJ/mol of atoms.

***

(w)
Below is a geometry-optimized Te2PbCI structure, with properties calculated at the GGA-PBE level.

The structure in POSCAR format:
```
Te2PbCI
1.0
-5.629 1.047 -2.015
1.168 -3.284 -4.970
-1.970 -5.055 2.877
C Te Pb I
1 2 1 1
direct
0.500 0.500 0.500 C
0.500 0.000 0.000 Te
0.000 0.500 0.000 Te
0.000 0.000 0.000 Pb
0.000 0.000 0.500 I
```

Values from the calculation:
Its space group is P4/mmm. The calculation puts the density of states at the Fermi level at 1.51 states/eV per atom.

***

(x)
Below is a geometry-optimized Te2PbCI structure, with properties calculated at the GGA-PBE level.

The structure in POSCAR format:
```
Te2PbCI
1.0
-3.536 3.416 0.525
-0.548 0.188 -4.910
-3.630 -3.798 0.260
Te C Pb I
2 1 1 1
direct
0.000 0.500 0.000 Te
0.500 0.000 0.000 Te
0.000 0.000 0.000 C
0.500 0.500 0.500 Pb
0.000 0.000 0.500 I
```

Values from the calculation:
Its space group is P4/mmm. The calculation puts the density of states at the Fermi level at 0.76 states/eV per atom.

***

Most stable structure - (x); separation to the second - 93.7 kJ/mol of atoms.

***

(w)
Below is a geometry-optimized PdCI3 structure, with properties calculated at the GGA-PBE level.

The structure in POSCAR format:
```
PdCI3
1.0
5.027 0.000 0.000
0.000 5.027 0.000
0.000 0.000 5.027
C I Pd
1 3 1
direct
0.000 0.000 0.000 C
0.000 0.500 0.000 I
0.500 0.000 0.000 I
0.000 0.000 0.500 I
0.500 0.500 0.500 Pd
```

Values from the calculation:
Its space group is Pm-3m. The calculation puts the density of states at the Fermi level at 1.77 states/eV per atom.

***

(x)
Below is a geometry-optimized PdCI3 structure, with properties calculated at the GGA-PBE level.

The structure in POSCAR format:
```
PdCI3
1.0
-1.188 0.149 5.343
4.911 -2.131 1.151
2.111 5.042 0.329
C I Pd
1 3 1
direct
0.500 0.500 0.500 C
0.500 0.000 0.000 I
0.000 0.500 0.000 I
0.000 0.000 0.500 I
0.000 0.000 0.000 Pd
```

Values from the calculation:
Its space group is Pm-3m. The calculation puts the density of states at the Fermi level at 1.11 states/eV per atom.

***

Most stable structure - (w); separation to the second - 12.5 kJ/mol of atoms.